# Sr2MnGe2O7

Crystalline Sr2MnGe2O7 at its relaxed geometry (GGA+U, Alexandria via LeMat-Bulk).

Computed properties:
total energy: -162.86 eV/cell
DOS(E_F): 0.00 states/eV/cell

abc: 8.3944 8.3944 5.3936
angles: 90.00 90.00 90.00
Last column: nearest neighbours and their distance in Å.
Positions (direct):
1 Sr 0.1670 0.3330 0.0057  8 O 2.59-2.88
2 Sr 0.3330 0.8330 0.9943  8 O 2.59-2.88
3 Sr 0.6670 0.1670 0.9943  8 O 2.59-2.88
4 Sr 0.8330 0.6670 0.0057  8 O 2.59-2.88
5 Mn 0.0000 0.0000 0.5000  4 O 2.06
6 Mn 0.5000 0.5000 0.5000  4 O 2.06
7 Ge 0.1409 0.6409 0.5572  4 O 1.74-1.82
8 Ge 0.3591 0.1409 0.4428  4 O 1.74-1.82
9 Ge 0.6409 0.8591 0.4428  4 O 1.74-1.82
10 Ge 0.8591 0.3591 0.5572  4 O 1.74-1.82
11 O 0.0000 0.5000 0.6910  2 Ge 1.82
12 O 0.0812 0.8158 0.7172  1 Ge 1.78
13 O 0.1390 0.6390 0.2345  1 Ge 1.74
14 O 0.1842 0.0812 0.2828  1 Ge 1.78
15 O 0.3158 0.5812 0.7172  1 Ge 1.78
16 O 0.3610 0.1390 0.7655  1 Ge 1.74
17 O 0.4188 0.3158 0.2828  1 Ge 1.78
18 O 0.5000 0.0000 0.3090  2 Ge 1.82
19 O 0.5812 0.6842 0.2828  1 Ge 1.78
20 O 0.6390 0.8610 0.7655  1 Ge 1.74
21 O 0.6842 0.4188 0.7172  1 Ge 1.78
22 O 0.8158 0.9188 0.2828  1 Ge 1.78
23 O 0.8610 0.3610 0.2345  1 Ge 1.74
24 O 0.9188 0.1842 0.7172  1 Ge 1.78